# 1
Ac2NdPu after structural relaxation. Source: the Alexandria database, functional PBE.

ΔH_f (0 K) (eV/f.u.): 0.70
Energy above the lowest structure with this stoichiometry (meV/atom): 20

```
data_Ac2NdPu
_symmetry_space_group_name_H-M 'R 3 m'
_symmetry_Int_Tables_number 160
_symmetry_space_group_name_Hall 'R 3 -2"'
_cell_length_a 3.8183
_cell_length_b 3.8183
_cell_length_c 36.4580
_cell_angle_alpha 90.00
_cell_angle_beta 90.00
_cell_angle_gamma 120.00
loop_
_atom_site_label
_atom_site_type_symbol
_atom_site_fract_x
_atom_site_fract_y
_atom_site_fract_z
Ac1 Ac 0.0000 0.0000 0.0000
Ac2 Ac 0.0000 0.0000 0.1707
Nd1 Nd 0.0000 0.0000 0.4180
Pu1 Pu 0.0000 0.0000 0.5857
```

# 2
AcNd2Pu after structural relaxation. Source: the Alexandria database, functional PBE.

ΔH_f (0 K) (eV/f.u.): 1.08
Energy above the lowest structure with this stoichiometry (meV/atom): 127

```
data_AcNd2Pu
_symmetry_space_group_name_H-M 'F m -3 m'
_symmetry_Int_Tables_number 225
_symmetry_space_group_name_Hall '-F 4 2 3'
_cell_length_a 8.327
_cell_length_b 8.327
_cell_length_c 8.327
_cell_angle_alpha 90.00
_cell_angle_beta 90.00
_cell_angle_gamma 90.00
loop_
_atom_site_label
_atom_site_type_symbol
_atom_site_fract_x
_atom_site_fract_y
_atom_site_fract_z
Ac1 Ac 0.000 0.000 0.000
Nd1 Nd 0.250 0.250 0.250
Pu1 Pu 0.000 0.000 0.500
```

# 3
AcNd2Pu after structural relaxation. Source: the Alexandria database, functional PBE.

ΔH_f (0 K) (eV/f.u.): 0.57
Energy above the lowest structure with this stoichiometry (meV/atom): 0

```
data_AcNd2Pu
_symmetry_space_group_name_H-M 'P 4/m m m'
_symmetry_Int_Tables_number 123
_symmetry_space_group_name_Hall '-P 4 2'
_cell_length_a 3.718
_cell_length_b 3.718
_cell_length_c 10.307
_cell_angle_alpha 90.00
_cell_angle_beta 90.00
_cell_angle_gamma 90.00
loop_
_atom_site_label
_atom_site_type_symbol
_atom_site_fract_x
_atom_site_fract_y
_atom_site_fract_z
Ac1 Ac 0.000 0.000 0.000
Nd1 Nd 0.500 0.500 0.271
Pu1 Pu 0.000 0.000 0.500
```

# 4
AcNd2Pu after structural relaxation. Source: the Alexandria database, functional PBE.

ΔH_f (0 K) (eV/f.u.): 0.64
Energy above the lowest structure with this stoichiometry (meV/atom): 19

```
data_AcNd2Pu
_symmetry_space_group_name_H-M 'R 3 m'
_symmetry_Int_Tables_number 160
_symmetry_space_group_name_Hall 'R 3 -2"'
_cell_length_a 3.7268
_cell_length_b 3.7268
_cell_length_c 35.8592
_cell_angle_alpha 90.00
_cell_angle_beta 90.00
_cell_angle_gamma 120.00
loop_
_atom_site_label
_atom_site_type_symbol
_atom_site_fract_x
_atom_site_fract_y
_atom_site_fract_z
Ac1 Ac 0.0000 0.0000 0.0000
Nd1 Nd 0.0000 0.0000 0.2450
Nd2 Nd 0.0000 0.0000 0.4224
Pu1 Pu 0.0000 0.0000 0.8339
```

# 5
AcNd14Pu after structural relaxation. Source: the Alexandria database, functional PBE.

ΔH_f (0 K) (eV/f.u.): 1.06

```
data_AcNd14Pu
_symmetry_space_group_name_H-M 'A m m 2'
_symmetry_Int_Tables_number 38
_symmetry_space_group_name_Hall 'A 2 -2'
_cell_length_a 11.923
_cell_length_b 7.432
_cell_length_c 12.880
_cell_angle_alpha 90.00
_cell_angle_beta 90.00
_cell_angle_gamma 90.00
loop_
_atom_site_label
_atom_site_type_symbol
_atom_site_fract_x
_atom_site_fract_y
_atom_site_fract_z
Ac1 Ac 0.000 0.000 0.000
Nd1 Nd 0.000 0.248 0.249
Nd2 Nd 0.245 0.000 0.662
Nd3 Nd 0.249 0.246 0.415
Nd4 Nd 0.254 0.000 0.166
Nd5 Nd 0.500 0.000 0.498
Nd6 Nd 0.500 0.000 0.998
Nd7 Nd 0.500 0.249 0.748
Pu1 Pu 0.000 0.000 0.497
```

# 6
Ac2NdPu after structural relaxation. Source: the Alexandria database, functional PBE.

ΔH_f (0 K) (eV/f.u.): 0.97
Energy above the lowest structure with this stoichiometry (meV/atom): 87

```
data_Ac2NdPu
_symmetry_space_group_name_H-M 'F m -3 m'
_symmetry_Int_Tables_number 225
_symmetry_space_group_name_Hall '-F 4 2 3'
_cell_length_a 8.487
_cell_length_b 8.487
_cell_length_c 8.487
_cell_angle_alpha 90.00
_cell_angle_beta 90.00
_cell_angle_gamma 90.00
loop_
_atom_site_label
_atom_site_type_symbol
_atom_site_fract_x
_atom_site_fract_y
_atom_site_fract_z
Ac1 Ac 0.250 0.250 0.250
Nd1 Nd 0.000 0.000 0.000
Pu1 Pu 0.000 0.000 0.500
```

# 7
Ac2NdPu after structural relaxation. Source: the Alexandria database, functional PBE.

ΔH_f (0 K) (eV/f.u.): 0.75
Energy above the lowest structure with this stoichiometry (meV/atom): 31

```
data_Ac2NdPu
_symmetry_space_group_name_H-M 'P 4/m m m'
_symmetry_Int_Tables_number 123
_symmetry_space_group_name_Hall '-P 4 2'
_cell_length_a 5.407
_cell_length_b 5.407
_cell_length_c 5.152
_cell_angle_alpha 90.00
_cell_angle_beta 90.00
_cell_angle_gamma 90.00
loop_
_atom_site_label
_atom_site_type_symbol
_atom_site_fract_x
_atom_site_fract_y
_atom_site_fract_z
Ac1 Ac 0.000 0.500 0.000
Nd1 Nd 0.000 0.000 0.500
Pu1 Pu 0.500 0.500 0.500
```

# 8
AcNd2Pu after structural relaxation. Source: the Alexandria database, functional PBE.

ΔH_f (0 K) (eV/f.u.): 1.30
Energy above the lowest structure with this stoichiometry (meV/atom): 183

```
data_AcNd2Pu
_symmetry_space_group_name_H-M 'R -3 m'
_symmetry_Int_Tables_number 166
_symmetry_space_group_name_Hall '-R 3 2"'
_cell_length_a 3.6337
_cell_length_b 3.6337
_cell_length_c 38.3044
_cell_angle_alpha 90.00
_cell_angle_beta 90.00
_cell_angle_gamma 120.00
loop_
_atom_site_label
_atom_site_type_symbol
_atom_site_fract_x
_atom_site_fract_y
_atom_site_fract_z
Ac1 Ac 0.0000 0.0000 0.0000
Nd1 Nd 0.0000 0.0000 0.4141
Pu1 Pu 0.0000 0.0000 0.5000
```

# 9
Ac2NdPu after structural relaxation. Source: the Alexandria database, functional PBE.

ΔH_f (0 K) (eV/f.u.): 0.62
Energy above the lowest structure with this stoichiometry (meV/atom): 0

```
data_Ac2NdPu
_symmetry_space_group_name_H-M 'P 4/m m m'
_symmetry_Int_Tables_number 123
_symmetry_space_group_name_Hall '-P 4 2'
_cell_length_a 3.808
_cell_length_b 3.808
_cell_length_c 10.489
_cell_angle_alpha 90.00
_cell_angle_beta 90.00
_cell_angle_gamma 90.00
loop_
_atom_site_label
_atom_site_type_symbol
_atom_site_fract_x
_atom_site_fract_y
_atom_site_fract_z
Ac1 Ac 0.000 0.000 0.243
Nd1 Nd 0.500 0.500 0.500
Pu1 Pu 0.500 0.500 0.000
```

# 10
AcNd2Pu after structural relaxation. Source: the Alexandria database, functional PBE.

ΔH_f (0 K) (eV/f.u.): 0.71
Energy above the lowest structure with this stoichiometry (meV/atom): 35

```
data_AcNd2Pu
_symmetry_space_group_name_H-M 'P 4/m m m'
_symmetry_Int_Tables_number 123
_symmetry_space_group_name_Hall '-P 4 2'
_cell_length_a 5.181
_cell_length_b 5.181
_cell_length_c 5.257
_cell_angle_alpha 90.00
_cell_angle_beta 90.00
_cell_angle_gamma 90.00
loop_
_atom_site_label
_atom_site_type_symbol
_atom_site_fract_x
_atom_site_fract_y
_atom_site_fract_z
Ac1 Ac 0.000 0.000 0.000
Nd1 Nd 0.000 0.500 0.500
Pu1 Pu 0.500 0.500 0.000
```

# 11
Ac4Nd3PuS8 after structural relaxation. Source: the Alexandria database, functional PBE.

```
data_Ac4Nd3PuS8
_symmetry_space_group_name_H-M 'R -3 m'
_symmetry_Int_Tables_number 166
_symmetry_space_group_name_Hall '-R 3 2"'
_cell_length_a 8.3371
_cell_length_b 8.3371
_cell_length_c 20.5390
_cell_angle_alpha 90.00
_cell_angle_beta 90.00
_cell_angle_gamma 120.00
loop_
_atom_site_label
_atom_site_type_symbol
_atom_site_fract_x
_atom_site_fract_y
_atom_site_fract_z
Ac1 Ac 0.0000 0.0000 0.0000
Ac2 Ac 0.0000 0.5000 0.0000
Nd1 Nd 0.0000 0.5000 0.5000
Pu1 Pu 0.0000 0.0000 0.5000
S1 S 0.0000 0.0000 0.2450
S2 S 0.0043 0.5022 0.2439
```

# 12
AcNd2PuSb4 after structural relaxation. Source: the Alexandria database, functional PBE.

```
data_AcNd2PuSb4
_symmetry_space_group_name_H-M 'P 1 2/m 1'
_symmetry_Int_Tables_number 10
_symmetry_space_group_name_Hall '-P 2y'
_cell_length_a 7.917
_cell_length_b 4.580
_cell_length_c 7.936
_cell_angle_alpha 90.00
_cell_angle_beta 109.42
_cell_angle_gamma 90.00
loop_
_atom_site_label
_atom_site_type_symbol
_atom_site_fract_x
_atom_site_fract_y
_atom_site_fract_z
Ac1 Ac 0.000 0.000 0.000
Nd1 Nd 0.000 0.500 0.500
Nd2 Nd 0.500 0.000 0.500
Pu1 Pu 0.500 0.500 0.000
Sb1 Sb 0.260 0.000 0.750
Sb2 Sb 0.262 0.500 0.258
```

# 13
Ac3Nd2PuSe6 after structural relaxation. Source: the Alexandria database, functional PBE.

```
data_Ac3Nd2PuSe6
_symmetry_space_group_name_H-M 'C 1 2/m 1'
_symmetry_Int_Tables_number 12
_symmetry_space_group_name_Hall '-C 2y'
_cell_length_a 7.491
_cell_length_b 12.977
_cell_length_c 7.545
_cell_angle_alpha 90.00
_cell_angle_beta 109.30
_cell_angle_gamma 90.00
loop_
_atom_site_label
_atom_site_type_symbol
_atom_site_fract_x
_atom_site_fract_y
_atom_site_fract_z
Ac1 Ac 0.000 0.000 0.000
Ac2 Ac 0.000 0.331 0.000
Nd1 Nd 0.000 0.167 0.500
Pu1 Pu 0.000 0.500 0.500
Se1 Se 0.242 0.335 0.732
Se2 Se 0.249 0.000 0.734
```

# 14
AcNdPu2Se4 after structural relaxation. Source: the Alexandria database, functional PBE.

```
data_AcNdPu2Se4
_symmetry_space_group_name_H-M 'P 1 2/m 1'
_symmetry_Int_Tables_number 10
_symmetry_space_group_name_Hall '-P 2y'
_cell_length_a 7.350
_cell_length_b 4.239
_cell_length_c 7.400
_cell_angle_alpha 90.00
_cell_angle_beta 109.29
_cell_angle_gamma 90.00
loop_
_atom_site_label
_atom_site_type_symbol
_atom_site_fract_x
_atom_site_fract_y
_atom_site_fract_z
Ac1 Ac 0.000 0.000 0.000
Nd1 Nd 0.500 0.500 0.000
Pu1 Pu 0.000 0.500 0.500
Pu2 Pu 0.500 0.000 0.500
Se1 Se 0.253 0.000 0.738
Se2 Se 0.263 0.500 0.267
```

# 15
AcNd2PuSe4 after structural relaxation. Source: the Alexandria database, functional PBE.

```
data_AcNd2PuSe4
_symmetry_space_group_name_H-M 'P 1 2/m 1'
_symmetry_Int_Tables_number 10
_symmetry_space_group_name_Hall '-P 2y'
_cell_length_a 7.415
_cell_length_b 4.257
_cell_length_c 7.425
_cell_angle_alpha 90.00
_cell_angle_beta 109.23
_cell_angle_gamma 90.00
loop_
_atom_site_label
_atom_site_type_symbol
_atom_site_fract_x
_atom_site_fract_y
_atom_site_fract_z
Ac1 Ac 0.000 0.000 0.000
Nd1 Nd 0.500 0.000 0.500
Nd2 Nd 0.500 0.500 0.000
Pu1 Pu 0.000 0.500 0.500
Se1 Se 0.250 0.000 0.741
Se2 Se 0.257 0.500 0.262
```

# 16
Ac3NdPu2Se6 after structural relaxation. Source: the Alexandria database, functional PBE.

```
data_Ac3NdPu2Se6
_symmetry_space_group_name_H-M 'C 1 2/m 1'
_symmetry_Int_Tables_number 12
_symmetry_space_group_name_Hall '-C 2y'
_cell_length_a 7.468
_cell_length_b 12.941
_cell_length_c 7.531
_cell_angle_alpha 90.00
_cell_angle_beta 109.30
_cell_angle_gamma 90.00
loop_
_atom_site_label
_atom_site_type_symbol
_atom_site_fract_x
_atom_site_fract_y
_atom_site_fract_z
Ac1 Ac 0.000 0.000 0.000
Ac2 Ac 0.000 0.335 0.000
Nd1 Nd 0.000 0.500 0.500
Pu1 Pu 0.000 0.167 0.500
Se1 Se 0.239 0.000 0.730
Se2 Se 0.246 0.331 0.731
```

# 17
Ac4NdPu3Se8 after structural relaxation. Source: the Alexandria database, functional PBE.

```
data_Ac4NdPu3Se8
_symmetry_space_group_name_H-M 'R -3 m'
_symmetry_Int_Tables_number 166
_symmetry_space_group_name_Hall '-R 3 2"'
_cell_length_a 8.6146
_cell_length_b 8.6146
_cell_length_c 21.3333
_cell_angle_alpha 90.00
_cell_angle_beta 90.00
_cell_angle_gamma 120.00
loop_
_atom_site_label
_atom_site_type_symbol
_atom_site_fract_x
_atom_site_fract_y
_atom_site_fract_z
Ac1 Ac 0.0000 0.0000 0.0000
Ac2 Ac 0.0000 0.5000 0.0000
Nd1 Nd 0.0000 0.0000 0.5000
Pu1 Pu 0.0000 0.5000 0.5000
Se1 Se 0.0000 0.0000 0.2427
Se2 Se 0.0032 0.5016 0.7564
```

# 18
Ac2NdPu3Te6 after structural relaxation. Source: the Alexandria database, functional PBE.

```
data_Ac2NdPu3Te6
_symmetry_space_group_name_H-M 'C 1 2/m 1'
_symmetry_Int_Tables_number 12
_symmetry_space_group_name_Hall '-C 2y'
_cell_length_a 19.879
_cell_length_b 4.535
_cell_length_c 9.135
_cell_angle_alpha 90.00
_cell_angle_beta 103.83
_cell_angle_gamma 90.00
loop_
_atom_site_label
_atom_site_type_symbol
_atom_site_fract_x
_atom_site_fract_y
_atom_site_fract_z
Ac1 Ac 0.164 0.000 0.330
Nd1 Nd 0.000 0.500 0.000
Pu1 Pu 0.000 0.500 0.500
Pu2 Pu 0.168 0.000 0.835
Te1 Te 0.006 0.000 0.750
Te2 Te 0.163 0.500 0.594
Te3 Te 0.167 0.500 0.069
```

# 19
AcNd3Pu2Te6 after structural relaxation. Source: the Alexandria database, functional PBE.

```
data_AcNd3Pu2Te6
_symmetry_space_group_name_H-M 'C 1 2/m 1'
_symmetry_Int_Tables_number 12
_symmetry_space_group_name_Hall '-C 2y'
_cell_length_a 7.809
_cell_length_b 13.525
_cell_length_c 7.871
_cell_angle_alpha 90.00
_cell_angle_beta 109.37
_cell_angle_gamma 90.00
loop_
_atom_site_label
_atom_site_type_symbol
_atom_site_fract_x
_atom_site_fract_y
_atom_site_fract_z
Ac1 Ac 0.000 0.000 0.000
Nd1 Nd 0.000 0.160 0.500
Nd2 Nd 0.000 0.500 0.500
Pu1 Pu 0.000 0.332 0.000
Te1 Te 0.236 0.500 0.246
Te2 Te 0.243 0.327 0.747
```

# 20
Ac2Nd3PuTe6 after structural relaxation. Source: the Alexandria database, functional PBE.

```
data_Ac2Nd3PuTe6
_symmetry_space_group_name_H-M 'C 1 2/m 1'
_symmetry_Int_Tables_number 12
_symmetry_space_group_name_Hall '-C 2y'
_cell_length_a 19.938
_cell_length_b 4.549
_cell_length_c 9.189
_cell_angle_alpha 90.00
_cell_angle_beta 103.50
_cell_angle_gamma 90.00
loop_
_atom_site_label
_atom_site_type_symbol
_atom_site_fract_x
_atom_site_fract_y
_atom_site_fract_z
Ac1 Ac 0.165 0.000 0.332
Nd1 Nd 0.000 0.500 0.500
Nd2 Nd 0.170 0.000 0.838
Pu1 Pu 0.000 0.500 0.000
Te1 Te 0.005 0.000 0.756
Te2 Te 0.164 0.500 0.073
Te3 Te 0.164 0.500 0.593
```

Final energy / eV/atom: -6.6536 -6.7249 -6.8520 -6.8333 -5.2582 -6.5872 -6.6429 -6.6692 -6.6738 -6.8167 -6.8568 -6.5735 -6.5574 -8.1223 -7.0019 -7.3008 -7.4864 -7.5171 -6.8233 -6.0332
Calculated density / Mg/m³: 9.115 8.737 8.849 8.772 7.247 9.150 9.287 8.638 9.197 8.937 7.419 7.627 8.096 8.967 8.069 8.639 8.778 8.704 8.103 7.771